*P*
Computed, not measured: crystalline Na3NpO4 at its relaxed geometry at the PBE level of DFT.

The structure in POSCAR format:
```
Na3NpO4
1.0
5.927 0.000 0.000
0.000 6.774 0.000
-2.125 0.000 5.549
Na Np O
6 2 8
Cartesian
-0.531 0.701 1.387
-1.593 2.500 4.162
-0.531 4.274 1.387
-1.593 6.074 4.162
1.370 0.828 4.162
2.432 5.947 1.387
2.432 2.481 1.387
1.370 4.294 4.162
1.526 1.044 0.212
0.464 5.730 2.986
0.671 2.743 2.809
1.733 4.032 0.034
2.069 2.743 5.515
3.131 4.032 2.741
3.338 1.044 2.563
2.276 5.730 5.338
```

Output
As for the symmetry: No. 13. Its total magnetic moment is 4.00 Bohr magnetons per cell. The value obtained for the density of states at the Fermi level is 4.66 states/eV/f.u.



*Q*
Computed, not measured: crystalline Na3NpO4 at its relaxed geometry at the PBE level of DFT.

The structure in POSCAR format:
```
Na3NpO4
1.0
4.534 0.000 0.000
0.000 7.738 0.000
0.000 0.000 7.150
Na Np O
6 2 8
Cartesian
1.133 0.083 1.088
1.133 3.785 1.088
1.133 5.803 4.997
3.400 1.934 2.153
3.400 3.952 6.062
3.400 7.654 6.062
1.133 1.934 4.611
3.400 5.803 2.539
1.133 0.349 5.891
1.133 1.934 2.577
1.133 3.520 5.891
1.133 5.803 2.566
3.400 1.934 4.584
3.400 4.218 1.259
3.400 5.803 4.573
3.400 7.389 1.259
```

Output
As for the symmetry: No. 59. Its total magnetic moment is 4.00 Bohr magnetons per cell. The value obtained for the density of states at the Fermi level is 5.21 states/eV/f.u.



Stability, lowest: *Q*



*P*
Computed, not measured: crystalline Na4NpO4 at its relaxed geometry at the PBE level of DFT.

The structure in POSCAR format:
```
Na4NpO4
1.0
5.754 -1.738 0.000
5.754 1.738 0.000
-4.467 0.000 7.045
Na Np O
4 1 4
Cartesian
-0.403 0.000 2.848
2.607 0.000 1.353
4.435 0.000 5.692
7.446 0.000 4.197
5.754 0.000 0.000
-3.145 0.000 6.398
0.373 0.000 5.171
6.669 0.000 1.874
10.187 0.000 0.647
```

Output
As for the symmetry: No. 12. Its total magnetic moment is 2.86 Bohr magnetons per cell. The value obtained for the density of states at the Fermi level is 4.80 states/eV/f.u.



*Q*
Computed, not measured: crystalline Na4NpO4 at its relaxed geometry at the PBE level of DFT.

The structure in POSCAR format:
```
Na4NpO4
1.0
-3.004 3.004 4.899
3.004 -3.004 4.899
3.004 3.004 -4.899
Na Np O
4 1 4
Cartesian
3.004 0.000 0.000
0.000 0.000 1.638
0.000 3.004 0.000
0.000 0.000 8.160
0.000 0.000 4.899
1.333 -1.333 4.014
1.671 1.671 0.885
-1.333 1.333 4.014
1.333 1.333 5.784
```

Output
As for the symmetry: No. 121. Its total magnetic moment is 3.00 Bohr magnetons per cell. The value obtained for the density of states at the Fermi level is 3.40 states/eV/f.u.



Stability, lowest: *Q*



*P*
Computed, not measured: crystalline Na3NpO10 at its relaxed geometry at the PBE level of DFT.

The structure in POSCAR format:
```
Na3NpO10
1.0
5.722 0.000 0.000
2.581 5.879 0.000
0.124 -0.032 6.469
Na Np O
3 1 10
Cartesian
0.000 0.000 0.000
2.587 4.181 3.192
5.839 1.667 3.277
2.923 -0.016 3.235
2.563 3.235 0.657
4.009 5.829 1.916
4.040 5.576 4.556
2.616 1.883 3.420
2.865 2.154 0.141
5.561 3.694 6.328
5.811 3.964 3.049
4.387 0.271 1.913
4.417 0.019 4.553
5.863 2.612 5.812
```

Output
As for the symmetry: No. 2. Its total magnetic moment is 6.10 Bohr magnetons per cell. The value obtained for the density of states at the Fermi level is 6.07 states/eV/f.u.



*Q*
Computed, not measured: crystalline Na3NpO10 at its relaxed geometry at the PBE level of DFT.

The structure in POSCAR format:
```
Na3NpO10
1.0
5.673 0.000 0.000
0.495 5.767 0.000
0.013 2.345 6.854
Na Np O
3 1 10
Cartesian
0.000 0.000 0.000
0.178 2.484 2.038
6.003 5.628 4.817
3.084 2.883 0.000
1.060 5.723 2.505
1.489 4.210 6.826
2.184 6.591 5.930
2.260 5.167 2.247
2.177 3.789 2.086
4.004 4.323 4.769
3.922 2.945 4.608
3.998 1.522 0.924
4.692 3.902 0.029
5.121 2.389 4.349
```

Output
As for the symmetry: No. 2. Its total magnetic moment is 2.00 Bohr magnetons per cell.



Stability, lowest: *P*



*P*
Computed, not measured: crystalline NaNpO4 at its relaxed geometry at the PBE level of DFT.

The structure in POSCAR format:
```
NaNpO4
1.0
-3.473 3.692 3.517
3.473 -3.692 3.517
3.473 3.692 -3.517
Na Np O
2 2 8
Cartesian
0.000 1.846 1.754
3.473 1.846 1.764
1.737 1.846 -1.759
1.737 -1.846 1.759
3.473 3.092 -1.762
3.473 -0.600 1.762
1.740 1.846 0.093
5.206 1.846 0.093
-1.733 1.846 3.424
1.733 1.846 3.424
0.000 4.292 1.756
0.000 0.600 5.279
```

Output
As for the symmetry: No. 74. Its total magnetic moment is 0.00 Bohr magnetons per cell.



*Q*
Computed, not measured: crystalline NaNpO4 at its relaxed geometry at the PBE level of DFT.

The structure in POSCAR format:
```
NaNpO4
1.0
3.652 -5.199 0.000
3.652 5.199 0.000
-3.650 0.000 4.263
Na Np O
2 2 8
Cartesian
0.915 3.897 3.197
2.740 -3.897 1.066
2.740 1.295 1.066
0.915 -1.295 3.197
1.343 2.594 1.204
-0.483 0.005 3.062
1.342 -0.005 0.931
4.136 2.594 0.928
-0.482 -2.594 3.335
2.312 0.005 3.332
4.137 -0.005 1.201
2.311 -2.594 3.059
```

Output
As for the symmetry: No. 15. Its total magnetic moment is 0.00 Bohr magnetons per cell.



Stability, lowest: *Q*



*P*
Computed, not measured: crystalline NaNpSeO6 at its relaxed geometry at the PBE level of DFT.

The structure in POSCAR format:
```
NaNpSeO6
1.0
7.659 -3.642 0.000
7.659 3.642 0.000
-2.639 0.000 6.377
Na Np Se O
2 2 2 12
Cartesian
-0.086 0.000 1.737
12.764 0.000 4.640
3.332 0.000 0.831
9.347 0.000 5.546
2.718 0.000 4.519
9.960 0.000 1.858
1.765 1.259 5.248
1.644 0.000 0.113
6.339 2.460 3.189
2.182 0.000 2.886
4.946 0.000 1.596
1.765 -1.259 5.248
10.914 1.259 1.129
7.732 0.000 4.782
10.496 0.000 3.491
6.339 -2.460 3.189
11.034 0.000 6.264
10.914 -1.259 1.129
```

Output
As for the symmetry: No. 12. Its total magnetic moment is 5.76 Bohr magnetons per cell. The value obtained for the density of states at the Fermi level is 6.74 states/eV/f.u.



*Q*
Computed, not measured: crystalline NaNpSeO6 at its relaxed geometry at the PBE level of DFT.

The structure in POSCAR format:
```
NaNpSeO6
1.0
5.469 0.000 0.000
-2.734 4.736 0.000
0.000 0.000 10.225
Na Np Se O
2 2 2 12
Cartesian
0.000 0.000 0.000
0.000 0.000 5.112
0.000 3.157 2.556
2.734 1.579 7.668
0.000 3.157 7.668
2.734 1.579 2.556
-1.002 1.750 6.602
-1.720 2.994 8.735
1.002 1.750 8.735
-0.718 4.729 6.602
2.016 0.007 1.490
1.014 1.742 3.623
1.720 2.994 6.602
0.718 4.729 8.735
3.452 0.007 3.623
1.733 2.986 1.490
4.454 1.742 1.490
3.736 2.986 3.623
```

Output
As for the symmetry: No. 163. Its total magnetic moment is 0.00 Bohr magnetons per cell.



Stability, lowest: *P*



*P*
Computed, not measured: crystalline NaNpSb2 at its relaxed geometry at the PBE level of DFT.

The structure in POSCAR format:
```
NaNpSb2
1.0
3.986 0.000 0.000
0.000 3.986 0.000
0.000 0.000 6.988
Na Np Sb
1 1 2
Cartesian
0.000 0.000 0.000
0.000 0.000 3.494
1.993 1.993 1.924
1.993 1.993 5.064
```

Output
As for the symmetry: No. 123. Its total magnetic moment is 3.91 Bohr magnetons per cell. The value obtained for the density of states at the Fermi level is 10.46 states/eV/f.u.



*Q*
Computed, not measured: crystalline NaNpSb2 at its relaxed geometry at the PBE level of DFT.

The structure in POSCAR format:
```
NaNpSb2
1.0
5.700 0.000 0.000
0.000 5.700 0.000
0.000 0.000 3.234
Na Np Sb
1 1 2
Cartesian
0.000 0.000 0.000
2.850 2.850 0.000
0.000 2.850 1.617
2.850 0.000 1.617
```

Output
As for the symmetry: No. 123. Its total magnetic moment is 3.91 Bohr magnetons per cell. The value obtained for the density of states at the Fermi level is 9.38 states/eV/f.u.



Stability, lowest: *P*